# GdBTe

A relaxed GdBTe crystal (GGA-PBE, the Open Quantum Materials Database).

Structure (CIF):
```
data_GdBTe
_chemical_formula_sum 'Gd4 B4 Te4'
_cell_length_a 6.446
_cell_length_b 6.446
_cell_length_c 6.446
_cell_angle_alpha 90.00
_cell_angle_beta 90.00
_cell_angle_gamma 90.00
_space_group_name_H-M_alt 'F -4 3 m'
_space_group_IT_number 216
_space_group_name_Hall 'F -4 2 3'
loop_
_atom_site_label
_atom_site_fract_x
_atom_site_fract_y
_atom_site_fract_z
Gd1 0.000 0.000 0.000
B1 0.250 0.250 0.250
Te1 0.000 0.000 0.500
```

Calculated values
- relative energy among the computed polymorphs (meV/atom) = 0
- crystal system = cubic
- calculated volume (Å³ per cell) = 267.8